Record 1
RbSeBr3 | PBE | relaxed

Summary:
density of states at the Fermi level = 0.0 states/eV/f.u.
energy relative to the elements, uncorrected = -0.7137 eV per atom

a b c (Å): 9.459 9.459 9.832
angles (deg): 110.98 110.98 90.68
Fractional positions:
Rb1 0.038 0.962 0.750
Rb2 0.350 0.650 0.250
Rb3 0.650 0.350 0.750
Rb4 0.962 0.038 0.250
Se1 0.173 0.524 0.738
Se2 0.476 0.827 0.762
Se3 0.524 0.173 0.238
Se4 0.827 0.476 0.262
Br1 0.033 0.686 0.379
Br2 0.042 0.695 0.945
Br3 0.290 0.402 0.540
Br4 0.305 0.958 0.555
Br5 0.314 0.967 0.121
Br6 0.402 0.290 0.040
Br7 0.598 0.710 0.960
Br8 0.686 0.033 0.879
Br9 0.695 0.042 0.445
Br10 0.710 0.598 0.460
Br11 0.958 0.305 0.055
Br12 0.967 0.314 0.621

=====

Record 2
LiCaP | PBE | relaxed

Summary:
formation energy from the elements = -1019 meV/atom

a b c (Å): 4.145 4.145 6.759
angles (deg): 90.00 90.00 90.00
Fractional positions:
Li1 0.250 0.750 0.000
Li2 0.750 0.250 0.000
Ca1 0.250 0.250 0.332
Ca2 0.750 0.750 0.668
P1 0.250 0.250 0.768
P2 0.750 0.750 0.232

=====

Record 3
NaTaNb2O8 | PBE | relaxed

Summary:
density of states at the Fermi level = 0.0 states/eV/f.u.
energy relative to the elements, uncorrected = -2.5329 eV per atom

a b c (Å): 4.846 4.846 6.451
angles (deg): 91.18 91.18 87.07
Fractional positions:
Na1 0.000 0.000 0.000
Ta1 0.000 0.000 0.500
Nb1 0.468 0.468 0.759
Nb2 0.532 0.532 0.241
O1 0.206 0.785 0.283
O2 0.215 0.794 0.717
O3 0.293 0.293 0.509
O4 0.321 0.321 0.996
O5 0.679 0.679 0.004
O6 0.707 0.707 0.491
O7 0.785 0.206 0.283
O8 0.794 0.215 0.717

=====

Record 4
BaZnSe2 | PBE | relaxed

Summary:
density of states at the Fermi level = 0.9 states/eV/f.u.
energy relative to the elements, uncorrected = -0.9828 eV per atom

a b c (Å): 4.255 4.255 6.911
angles (deg): 90.00 90.00 90.00
Fractional positions:
Ba1 0.000 0.000 0.000
Zn1 0.500 0.500 0.473
Se1 0.000 0.000 0.533
Se2 0.500 0.500 0.125

=====

Record 5
Nd6DyMg5 | PBE | relaxed

Summary:
density of states at the Fermi level = 13.6 states/eV/f.u.
formation energy from the elements = -59 meV/atom

a b c (Å): 5.531 7.819 8.806
angles (deg): 90.00 108.33 90.00
Fractional positions:
Nd1 0.000 0.239 0.000
Nd2 0.000 0.761 0.000
Nd3 0.332 0.248 0.659
Nd4 0.332 0.752 0.659
Nd5 0.668 0.248 0.341
Nd6 0.668 0.752 0.341
Dy1 0.500 0.500 0.000
Mg1 0.159 0.500 0.323
Mg2 0.164 0.000 0.334
Mg3 0.500 0.000 0.000
Mg4 0.836 0.000 0.666
Mg5 0.841 0.500 0.677

=====

Record 6
MgB2 | PBE | relaxed

Summary:
energy above the most stable polymorph in this dataset = 201 meV/atom
density of states at the Fermi level = 0.4 states/eV/f.u.
formation energy from the elements = 73 meV/atom

a b c (Å): 3.171 4.722 5.015
angles (deg): 62.61 85.52 87.14
Fractional positions:
Mg1 0.241 0.157 0.167
Mg2 0.759 0.843 0.833
B1 0.149 0.587 0.308
B2 0.349 0.558 0.631
B3 0.651 0.442 0.369
B4 0.851 0.413 0.692

=====

Record 7
ZnCo2Ru2 | PBE | relaxed

Summary:
density of states at the Fermi level = 7.3 states/eV/f.u.
formation energy from the elements = 325 meV/atom

a b c (Å): 7.145 7.145 2.653
angles (deg): 90.00 90.00 90.00
Fractional positions:
Zn1 0.000 0.000 0.000
Zn2 0.500 0.500 0.000
Co1 0.167 0.333 0.500
Co2 0.333 0.833 0.500
Co3 0.667 0.167 0.500
Co4 0.833 0.667 0.500
Ru1 0.128 0.628 0.000
Ru2 0.372 0.128 0.000
Ru3 0.628 0.872 0.000
Ru4 0.872 0.372 0.000

=====

Record 8
KTmRhO3 | PBE | relaxed

Summary:
density of states at the Fermi level = 1.6 states/eV/f.u.
energy relative to the elements, uncorrected = -1.8655 eV per atom

a b c (Å): 7.453 3.336 8.629
angles (deg): 90.00 102.49 90.00
Fractional positions:
K1 0.177 0.250 0.198
K2 0.823 0.750 0.802
Tm1 0.362 0.750 0.854
Tm2 0.638 0.250 0.146
Rh1 0.111 0.250 0.587
Rh2 0.889 0.750 0.413
O1 0.147 0.250 0.832
O2 0.262 0.750 0.580
O3 0.437 0.750 0.117
O4 0.563 0.250 0.883
O5 0.738 0.250 0.420
O6 0.853 0.750 0.168

=====

Record 9
TiBiH2I | PBE | relaxed

Summary:
density of states at the Fermi level = 6.0 states/eV/f.u.
DFT total energy = -0.1232 hartree per atom

a b c (Å): 4.133 4.133 7.407
angles (deg): 90.00 90.00 90.00
Fractional positions:
Ti1 0.000 0.000 0.000
Bi1 0.500 0.500 0.500
H1 0.000 0.500 0.500
H2 0.500 0.000 0.500
I1 0.500 0.500 0.000

=====

Record 10
KNaGaH6 | PBE | relaxed

Summary:
density of states at the Fermi level = 3.5 states/eV/f.u.
DFT total energy = -0.0989 hartree per atom

a b c (Å): 5.445 5.445 5.041
angles (deg): 90.00 90.00 120.00
Fractional positions:
K1 0.000 0.000 0.000
Na1 0.333 0.667 0.500
Ga1 0.667 0.333 0.498
H1 0.420 0.069 0.702
H2 0.422 0.354 0.295
H3 0.646 0.068 0.295
H4 0.649 0.580 0.702
H5 0.931 0.351 0.702
H6 0.932 0.578 0.295

=====

Record 11
CoGeB3 | PBE | relaxed

Summary:
energy above the most stable polymorph in this dataset = 1164 meV/atom
density of states at the Fermi level = 5.1 states/eV/f.u.
formation energy from the elements = 2190 meV/atom

a b c (Å): 4.069 4.069 4.069
angles (deg): 90.00 90.00 90.00
Fractional positions:
Co1 0.000 0.000 0.000
Ge1 0.500 0.500 0.500
B1 0.000 0.500 0.500
B2 0.500 0.000 0.500
B3 0.500 0.500 0.000

=====

Record 12
Li2ZrCl | PBE | relaxed

Summary:
energy above the most stable polymorph in this dataset = 356 meV/atom
density of states at the Fermi level = 2.1 states/eV/f.u.
energy relative to the elements, uncorrected = -0.2394 eV per atom

a b c (Å): 5.144 10.348 3.048
angles (deg): 90.00 90.08 90.00
Fractional positions:
Li1 0.250 0.250 0.000
Li2 0.250 0.750 0.000
Li3 0.750 0.250 0.000
Li4 0.750 0.750 0.000
Zr1 0.000 0.000 0.500
Zr2 0.500 0.500 0.500
Cl1 0.000 0.500 0.500
Cl2 0.500 0.000 0.500

=====

Number 1: volume 37.845 Å³/atom. Number 2: volume 19.352 Å³/atom. Number 3: volume 12.606 Å³/atom. Number 4: volume 31.282 Å³/atom. Number 5: volume 30.125 Å³/atom. Number 6: volume 11.077 Å³/atom. Number 7: volume 13.543 Å³/atom. Number 8: volume 17.456 Å³/atom. Number 9: volume 25.302 Å³/atom. Number 10: volume 14.380 Å³/atom. Number 11: volume 13.470 Å³/atom. Number 12: volume 20.279 Å³/atom.